Entry 1:
Computed, not measured: a relaxed InCoOs crystal at the GGA-PBE level of DFT.

Computed properties:
The energy above the lowest structure with this stoichiometry comes out at 0.76 kcal/mol of atoms. The calculation puts the formation energy at 0.286 eV per atom. The total magnetization comes out at 0.00 μB per formula unit.

Cell and atoms, written as POSCAR:
```
InCoOs
1.0
1.401 -6.833 0.000
1.401 6.833 0.000
0.000 0.000 4.691
In Co Os
2 2 2
direct
0.076 0.924 0.500
0.924 0.076 0.000
0.400 0.600 0.487
0.600 0.400 0.987
0.243 0.757 0.152
0.757 0.243 0.652
```

Entry 2:
Computed, not measured: a relaxed Sc5In2Co2Os crystal at the GGA-PBE level of DFT.

Computed properties:
The calculation puts the formation energy at -0.351 eV per atom. The total magnetization comes out at 0.00 μB per formula unit.

Cell and atoms, written as POSCAR:
```
Sc5In2Co2Os
1.0
10.818 0.000 0.000
0.000 10.818 0.000
0.000 0.000 3.236
Sc In Co Os
10 4 4 2
direct
0.000 0.500 0.000
0.067 0.198 0.000
0.198 0.933 0.000
0.302 0.433 0.000
0.433 0.698 0.000
0.500 0.000 0.000
0.567 0.302 0.000
0.698 0.567 0.000
0.802 0.067 0.000
0.933 0.802 0.000
0.176 0.676 0.500
0.324 0.176 0.500
0.676 0.824 0.500
0.824 0.324 0.500
0.132 0.368 0.500
0.368 0.868 0.500
0.632 0.132 0.500
0.868 0.632 0.500
0.000 0.000 0.500
0.500 0.500 0.500
```

Entry 3:
Computed, not measured: a relaxed In2CoOsSe crystal at the GGA-PBE level of DFT.

Computed properties:
The total magnetization comes out at 2.14 μB per formula unit.

Cell and atoms, written as POSCAR:
```
In2CoOsSe
1.0
5.334 0.000 0.000
0.000 5.334 0.000
0.000 0.000 4.597
In Co Os Se
2 1 1 1
direct
0.000 0.500 0.000
0.500 0.000 0.000
0.000 0.000 0.500
0.500 0.500 0.000
0.500 0.500 0.500
```

Number 1: total energy -6.74 eV per atom. Number 2: total energy -6.61 eV per atom. Number 3: total energy -4.57 eV per atom.